Compound: Ba4GeBr2
Source: the Alexandria database
Functional: PBE-GGA
Structure: optimized geometry

POSCAR file:
```
Ba4GeBr2
1.0
0.000 8.242 4.645
8.203 0.000 4.645
8.203 8.242 0.000
Ba Ge Br
8 2 4
Cartesian
14.588 6.941 4.645
5.919 2.819 2.323
2.284 5.423 2.323
10.146 9.688 4.586
6.259 6.796 4.586
14.247 10.917 6.909
10.361 13.809 6.909
1.817 9.544 4.645
8.203 8.242 2.288
4.101 4.121 4.610
8.329 4.114 4.613
12.178 8.236 6.936
8.077 12.370 4.613
4.227 8.249 6.936
```

The value obtained for the magnetic moment is 0.00 μB/f.u. The calculation puts the final energy at -3.33 eV/atom. The calculation puts the uncorrected formation energy at -1.0968 eV/atom.